# 1
{"formula": "PmY2Ho2Mg", "functional": "PBE", "state": "optimized geometry", "dos_at_fermi_per_ev_fu": 9.23, "mass_density_g_cm3": 5.09, "e_form_mev_per_atom": 497, "cell": [[10.473, 0.000, 0.000], [0.000, 11.698, 0.000], [0.000, 0.000, 3.608]], "species": ["Pm", "Pm", "Y", "Y", "Y", "Y", "Ho", "Ho", "Ho", "Ho", "Mg", "Mg"], "fractional_positions": [[0.000, 0.000, 0.000], [0.500, 0.500, 0.500], [0.246, 0.430, 0.000], [0.254, 0.930, 0.500], [0.746, 0.070, 0.500], [0.754, 0.570, 0.000], [0.080, 0.228, 0.500], [0.420, 0.728, 0.000], [0.580, 0.272, 0.000], [0.920, 0.772, 0.500], [0.000, 0.500, 0.500], [0.500, 0.000, 0.000]]}

---

# 2
{"formula": "AlZn6Tc", "functional": "PBE", "state": "optimized geometry", "dos_at_fermi_per_ev_fu": 2.58, "mass_density_g_cm3": 7.26, "e_form_mev_per_atom": -11, "cell": [[5.108, 0.000, 0.000], [0.000, 8.896, 0.000], [-0.267, 0.000, 5.206]], "species": ["Al", "Al", "Zn", "Zn", "Zn", "Zn", "Zn", "Zn", "Zn", "Zn", "Zn", "Zn", "Zn", "Zn", "Tc", "Tc"], "fractional_positions": [[0.000, 0.000, 0.000], [0.500, 0.500, 0.000], [0.019, 0.500, 0.740], [0.222, 0.252, 0.258], [0.222, 0.748, 0.258], [0.278, 0.248, 0.742], [0.278, 0.752, 0.742], [0.481, 0.000, 0.260], [0.519, 0.000, 0.740], [0.722, 0.248, 0.258], [0.722, 0.752, 0.258], [0.778, 0.252, 0.742], [0.778, 0.748, 0.742], [0.981, 0.500, 0.260], [0.000, 0.000, 0.500], [0.500, 0.500, 0.500]]}

---

# 3
{"formula": "CsSmGe2O6", "functional": "PBE", "state": "optimized geometry", "raw_formation_energy_kcal_per_mol_atoms": -49.9, "dos_at_fermi_per_ev_fu": 0.00, "mass_density_g_cm3": 5.29, "cell": [[5.486, -5.204, 0.000], [5.486, 5.204, 0.000], [-1.218, 0.000, 5.766]], "species": ["Cs", "Cs", "Sm", "Sm", "Ge", "Ge", "Ge", "Ge", "O", "O", "O", "O", "O", "O", "O", "O", "O", "O", "O", "O"], "fractional_positions": [[0.183, 0.817, 0.750], [0.817, 0.183, 0.250], [0.385, 0.615, 0.250], [0.615, 0.385, 0.750], [0.141, 0.306, 0.813], [0.306, 0.141, 0.313], [0.694, 0.859, 0.687], [0.859, 0.694, 0.187], [0.080, 0.615, 0.238], [0.157, 0.171, 0.046], [0.171, 0.157, 0.546], [0.327, 0.446, 0.878], [0.385, 0.920, 0.262], [0.446, 0.327, 0.378], [0.554, 0.673, 0.622], [0.615, 0.080, 0.738], [0.673, 0.554, 0.122], [0.829, 0.843, 0.454], [0.843, 0.829, 0.954], [0.920, 0.385, 0.762]]}

---

# 4
{"formula": "AcHoLuCd", "functional": "PBE", "state": "optimized geometry", "dos_at_fermi_per_ev_fu": 4.60, "mass_density_g_cm3": 8.99, "e_form_mev_per_atom": -5, "cell": [[7.946, 0.000, 0.000], [0.000, 7.946, 0.000], [0.000, 0.000, 7.946]], "species": ["Ac", "Ac", "Ac", "Ac", "Ho", "Ho", "Ho", "Ho", "Lu", "Lu", "Lu", "Lu", "Cd", "Cd", "Cd", "Cd"], "fractional_positions": [[0.000, 0.000, 0.000], [0.000, 0.500, 0.500], [0.500, 0.000, 0.500], [0.500, 0.500, 0.000], [0.000, 0.000, 0.500], [0.000, 0.500, 0.000], [0.500, 0.000, 0.000], [0.500, 0.500, 0.500], [0.250, 0.250, 0.750], [0.250, 0.750, 0.250], [0.750, 0.250, 0.250], [0.750, 0.750, 0.750], [0.250, 0.250, 0.250], [0.250, 0.750, 0.750], [0.750, 0.250, 0.750], [0.750, 0.750, 0.250]]}

---

# 5
{"formula": "YSnPt2", "functional": "PBE", "state": "optimized geometry", "dos_at_fermi_per_ev_fu": 2.26, "mass_density_g_cm3": 12.07, "e_form_mev_per_atom": -1015, "cell": [[4.567, 0.000, 0.000], [-2.284, 3.955, 0.000], [0.000, 0.000, 9.103]], "species": ["Y", "Y", "Sn", "Sn", "Pt", "Pt", "Pt", "Pt"], "fractional_positions": [[0.333, 0.667, 0.250], [0.667, 0.333, 0.750], [0.000, 0.000, 0.000], [0.000, 0.000, 0.500], [0.333, 0.667, 0.590], [0.333, 0.667, 0.910], [0.667, 0.333, 0.090], [0.667, 0.333, 0.410]]}

---

# 6
{"formula": "Dy2YRh9", "functional": "PBE", "state": "optimized geometry", "dos_at_fermi_per_ev_fu": 12.60, "mass_density_g_cm3": 10.59, "e_form_mev_per_atom": -568, "cell": [[2.629, 1.518, 8.777], [-2.629, 1.518, 8.777], [0.000, -3.036, 8.777]], "species": ["Dy", "Dy", "Y", "Rh", "Rh", "Rh", "Rh", "Rh", "Rh", "Rh", "Rh", "Rh"], "fractional_positions": [[0.139, 0.139, 0.139], [0.861, 0.861, 0.861], [0.000, 0.000, 0.000], [0.082, 0.583, 0.583], [0.333, 0.333, 0.333], [0.417, 0.417, 0.918], [0.417, 0.918, 0.417], [0.500, 0.500, 0.500], [0.583, 0.082, 0.583], [0.583, 0.583, 0.082], [0.667, 0.667, 0.667], [0.918, 0.417, 0.417]]}

---

# 7
{"formula": "Ca2Si2Te", "functional": "PBE", "state": "optimized geometry", "raw_formation_energy_kcal_per_mol_atoms": -2.8, "dos_at_fermi_per_ev_fu": 4.21, "de_polymorph_mev_per_atom": 507, "mass_density_g_cm3": 3.03, "cell": [[5.405, 0.000, 0.000], [0.000, 5.405, 0.000], [0.000, 0.000, 9.893]], "species": ["Ca", "Ca", "Ca", "Ca", "Si", "Si", "Si", "Si", "Te", "Te"], "fractional_positions": [[0.000, 0.500, 0.250], [0.000, 0.500, 0.750], [0.500, 0.000, 0.250], [0.500, 0.000, 0.750], [0.000, 0.000, 0.110], [0.000, 0.000, 0.890], [0.500, 0.500, 0.390], [0.500, 0.500, 0.610], [0.000, 0.000, 0.500], [0.500, 0.500, 0.000]]}

---

# 8
{"formula": "Sc2TaTe", "functional": "PBE", "state": "optimized geometry", "raw_formation_energy_kcal_per_mol_atoms": -0.6, "dos_at_fermi_per_ev_fu": 2.91, "de_polymorph_mev_per_atom": 302, "mass_density_g_cm3": 7.12, "cell": [[3.400, 0.000, 0.000], [-1.700, 2.944, 0.000], [0.000, 0.000, 27.860]], "species": ["Sc", "Sc", "Sc", "Sc", "Sc", "Sc", "Ta", "Ta", "Ta", "Te", "Te", "Te"], "fractional_positions": [[0.000, 0.000, 0.000], [0.000, 0.000, 0.237], [0.333, 0.667, 0.667], [0.333, 0.667, 0.904], [0.667, 0.333, 0.333], [0.667, 0.333, 0.571], [0.000, 0.000, 0.748], [0.333, 0.667, 0.415], [0.667, 0.333, 0.082], [0.000, 0.000, 0.487], [0.333, 0.667, 0.154], [0.667, 0.333, 0.820]]}